The following is a DFT calculation (PBE) of a relaxed structure of CaRuRh.

a b c (Å): 5.685 5.685 5.685
angles (deg): 150.41 140.60 50.04
Fractional positions:
Ca (0.000, 0.000, 0.000)
Ru (0.290, 0.290, 0.000)
Rh (0.706, 0.706, 0.000)

Values from the calculation:
excess energy over the best structure of this formula in the dataset: 262 meV/atom
ΔE_f: 0.103 eV/atom
density of states at the Fermi level: 3.1 states/eV/f.u.
magnetization: 0.000 μB/cell
VASP energy: -6.11 eV per atom
crystal system: orthorhombic

---

The following is a DFT calculation (PBE) of a relaxed structure of Sm3Y6Tm2Mg.

a b c (Å): 6.175 6.175 11.706
angles (deg): 95.08 95.08 120.03
Fractional positions:
Sm (0.000, 0.000, 0.000)
Sm (0.334, 0.666, 0.000)
Sm (0.666, 0.334, 0.000)
Y (0.087, 0.419, 0.255)
Y (0.248, 0.248, 0.745)
Y (0.419, 0.087, 0.255)
Y (0.581, 0.913, 0.745)
Y (0.752, 0.752, 0.255)
Y (0.913, 0.581, 0.745)
Tm (0.166, 0.834, 0.500)
Tm (0.834, 0.166, 0.500)
Mg (0.500, 0.500, 0.500)

Values from the calculation:
ΔE_f: 0.035 eV/atom
density of states at the Fermi level: 18.2 states/eV/f.u.
magnetization: 0.000 μB/cell
VASP energy: -5.25 eV per atom
crystal system: monoclinic

---

The following is a DFT calculation (PBE) of a relaxed structure of Pr3NbS6.

a b c (Å): 8.850 8.850 6.791
angles (deg): 90.00 90.00 102.20
Fractional positions:
Pr (0.099, 0.901, 0.500)
Pr (0.221, 0.415, 0.578)
Pr (0.415, 0.221, 0.078)
Pr (0.585, 0.779, 0.578)
Pr (0.779, 0.585, 0.078)
Pr (0.901, 0.099, 0.000)
Nb (0.305, 0.695, 0.122)
Nb (0.695, 0.305, 0.622)
S (0.072, 0.598, 0.296)
S (0.135, 0.187, 0.289)
S (0.187, 0.135, 0.789)
S (0.280, 0.720, 0.770)
S (0.402, 0.928, 0.296)
S (0.466, 0.534, 0.273)
S (0.534, 0.466, 0.773)
S (0.598, 0.072, 0.796)
S (0.720, 0.280, 0.270)
S (0.813, 0.865, 0.289)
S (0.865, 0.813, 0.789)
S (0.928, 0.402, 0.796)

Values from the calculation:
density of states at the Fermi level: 3.6 states/eV/f.u.
magnetization: 4.005 μB/cell
VASP energy: -6.56 eV per atom
crystal system: orthorhombic
energy relative to the elements, uncorrected: -1.641 eV per atom

---

The following is a DFT calculation (PBE) of a relaxed structure of Dy12Ho2Er.

a b c (Å): 6.580 6.580 24.199
angles (deg): 92.26 92.26 114.99
Fractional positions:
Dy (0.059, 0.542, 0.201)
Dy (0.077, 0.588, 0.330)
Dy (0.134, 0.642, 0.555)
Dy (0.147, 0.147, 0.572)
Dy (0.214, 0.214, 0.858)
Dy (0.231, 0.731, 0.927)
Dy (0.269, 0.769, 0.073)
Dy (0.283, 0.283, 0.132)
Dy (0.358, 0.866, 0.445)
Dy (0.359, 0.359, 0.421)
Dy (0.412, 0.923, 0.670)
Dy (0.458, 0.941, 0.799)
Dy (0.542, 0.059, 0.201)
Dy (0.588, 0.077, 0.330)
Dy (0.641, 0.641, 0.579)
Dy (0.642, 0.134, 0.555)
Dy (0.717, 0.717, 0.868)
Dy (0.731, 0.231, 0.927)
Dy (0.769, 0.269, 0.073)
Dy (0.786, 0.786, 0.142)
Dy (0.853, 0.853, 0.428)
Dy (0.866, 0.358, 0.445)
Dy (0.923, 0.412, 0.670)
Dy (0.941, 0.458, 0.799)
Ho (0.074, 0.074, 0.272)
Ho (0.438, 0.438, 0.729)
Ho (0.562, 0.562, 0.271)
Ho (0.926, 0.926, 0.728)
Er (0.249, 0.249, 0.995)
Er (0.751, 0.751, 0.005)

Values from the calculation:
ΔE_f: 0.119 eV/atom
density of states at the Fermi level: 23.9 states/eV/f.u.
magnetization: 0.000 μB/cell
VASP energy: -4.48 eV per atom
crystal system: monoclinic

---

The following is a DFT calculation (PBE) of a relaxed structure of Li2TlPd2.

a b c (Å): 7.107 7.107 7.107
angles (deg): 150.54 150.54 42.15
Fractional positions:
Li (0.250, 0.750, 0.500)
Li (0.750, 0.250, 0.500)
Tl (0.000, 0.000, 0.000)
Pd (0.395, 0.395, 0.000)
Pd (0.605, 0.605, 0.000)

Values from the calculation:
excess energy over the best structure of this formula in the dataset: 219 meV/atom
ΔE_f: -0.120 eV/atom
density of states at the Fermi level: 2.3 states/eV/f.u.
magnetization: 0.000 μB/cell
VASP energy: -3.44 eV per atom
crystal system: tetragonal

---

Q: Number 3 is which compound?
A: Pr3NbS6